# BaBe4Pt3O12

BaBe4Pt3O12 after structural relaxation (PBE, Alexandria).

Summary:
ΔE_f (raw) ... -2759 kJ/mol of formula units
Space-group type ... No. 155
Magnetic moment ... 1.7 μB per formula unit
E ... -6.152 eV per atom

Cell: 6.418 6.418 6.418 Å, 104.83 104.83 104.83°
Element x y z (fractional)
Ba1 0.000 0.000 0.000
Be1 0.073 0.500 0.927
Be2 0.500 0.500 0.500
Be3 0.500 0.927 0.073
Be4 0.927 0.073 0.500
Pt1 0.000 0.567 0.433
Pt2 0.433 0.000 0.567
Pt3 0.567 0.433 0.000
O1 0.036 0.626 0.757
O2 0.084 0.916 0.500
O3 0.243 0.374 0.964
O4 0.345 0.655 0.500
O5 0.374 0.964 0.243
O6 0.500 0.084 0.916
O7 0.500 0.345 0.655
O8 0.626 0.757 0.036
O9 0.655 0.500 0.345
O10 0.757 0.036 0.626
O11 0.916 0.500 0.084
O12 0.964 0.243 0.374

***

# BaBe2PtO6

BaBe2PtO6 after structural relaxation (PBE, Alexandria).

Summary:
ΔE_f (raw) ... -1516 kJ/mol of formula units
Space-group type ... No. 15
Magnetic moment ... 0.0 μB per formula unit
E ... -6.088 eV per atom

Cell: 6.531 6.531 5.986 Å, 99.55 99.55 98.11°
Element x y z (fractional)
Ba1 0.111 0.889 0.750
Ba2 0.889 0.111 0.250
Be1 0.246 0.385 0.868
Be2 0.385 0.246 0.368
Be3 0.615 0.754 0.632
Be4 0.754 0.615 0.132
Pt1 0.300 0.700 0.250
Pt2 0.700 0.300 0.750
O1 0.002 0.296 0.741
O2 0.262 0.372 0.181
O3 0.296 0.002 0.241
O4 0.314 0.633 0.930
O5 0.367 0.686 0.570
O6 0.372 0.262 0.681
O7 0.628 0.738 0.319
O8 0.633 0.314 0.430
O9 0.686 0.367 0.070
O10 0.704 0.998 0.759
O11 0.738 0.628 0.819
O12 0.998 0.704 0.259

***

# BaBePtO4

BaBePtO4 after structural relaxation (PBE, Alexandria).

Summary:
ΔE_f (raw) ... -904 kJ/mol of formula units
Space-group type ... No. 63
Magnetic moment ... 0.0 μB per formula unit
E ... -5.841 eV per atom

Cell: 5.743 5.743 6.757 Å, 90.00 90.00 109.99°
Element x y z (fractional)
Ba1 0.000 0.000 0.000
Ba2 0.000 0.000 0.500
Be1 0.383 0.617 0.750
Be2 0.617 0.383 0.250
Pt1 0.333 0.667 0.250
Pt2 0.667 0.333 0.750
O1 0.291 0.709 0.540
O2 0.291 0.709 0.960
O3 0.309 0.314 0.750
O4 0.314 0.309 0.250
O5 0.686 0.691 0.750
O6 0.691 0.686 0.250
O7 0.709 0.291 0.040
O8 0.709 0.291 0.460

***

# Ba2BePtO4

Ba2BePtO4 after structural relaxation (PBE, Alexandria).

Summary:
ΔE_f (raw) ... -1355 kJ/mol of formula units
Space-group type ... No. 70
Magnetic moment ... 0.0 μB per formula unit
E ... -5.936 eV per atom

Cell: 10.567 9.255 6.421 Å, 82.64 60.30 37.06°
Element x y z (fractional)
Ba1 0.051 0.051 0.699
Ba2 0.301 0.301 0.949
Ba3 0.699 0.699 0.051
Ba4 0.949 0.949 0.301
Be1 0.125 0.125 0.125
Be2 0.875 0.875 0.875
Pt1 0.375 0.375 0.375
Pt2 0.625 0.625 0.625
O1 0.054 0.256 0.393
O2 0.202 0.607 0.744
O3 0.256 0.054 0.798
O4 0.393 0.798 0.054
O5 0.607 0.202 0.946
O6 0.744 0.946 0.202
O7 0.798 0.393 0.256
O8 0.946 0.744 0.607

***

# BaBe2PtO8

BaBe2PtO8 after structural relaxation (PBE, Alexandria).

Summary:
ΔE_f (raw) ... -1239 kJ/mol of formula units
Space-group type ... No. 147
Magnetic moment ... 1.9 μB per formula unit
E ... -5.660 eV per atom

Cell: 4.892 4.892 7.384 Å, 90.00 90.00 120.00°
Element x y z (fractional)
Ba1 0.000 0.000 0.000
Be1 0.333 0.667 0.704
Be2 0.667 0.333 0.296
Pt1 0.000 0.000 0.500
O1 0.033 0.335 0.652
O2 0.302 0.967 0.652
O3 0.333 0.667 0.925
O4 0.335 0.302 0.348
O5 0.665 0.698 0.652
O6 0.667 0.333 0.075
O7 0.698 0.033 0.348
O8 0.967 0.665 0.348

***

# Ba3Be2PtO6

Ba3Be2PtO6 after structural relaxation (PBE, Alexandria).

Summary:
ΔE_f (raw) ... -2321 kJ/mol of formula units
Space-group type ... No. 164
Magnetic moment ... 2.0 μB per formula unit
E ... -6.089 eV per atom

Cell: 5.740 5.740 7.047 Å, 90.00 90.00 120.00°
Element x y z (fractional)
Ba1 0.000 0.000 0.000
Ba2 0.333 0.667 0.669
Ba3 0.667 0.333 0.331
Be1 0.333 0.667 0.268
Be2 0.667 0.333 0.732
Pt1 0.000 0.000 0.500
O1 0.178 0.357 0.283
O2 0.178 0.822 0.283
O3 0.357 0.178 0.717
O4 0.643 0.822 0.283
O5 0.822 0.178 0.717
O6 0.822 0.643 0.717

***

# BaPuBeO5

BaPuBeO5 after structural relaxation (PBE, Alexandria).

Summary:
ΔE_f (raw) ... -2008 kJ/mol of formula units
Space-group type ... No. 15
Magnetic moment ... 2.0 μB per formula unit
E ... -8.198 eV per atom

Cell: 5.875 5.875 7.852 Å, 104.29 104.29 105.80°
Element x y z (fractional)
Ba1 0.159 0.841 0.750
Ba2 0.841 0.159 0.250
Pu1 0.500 0.500 0.000
Pu2 0.500 0.500 0.500
Be1 0.192 0.808 0.250
Be2 0.808 0.192 0.750
O1 0.117 0.276 0.888
O2 0.216 0.620 0.386
O3 0.276 0.117 0.388
O4 0.380 0.784 0.114
O5 0.432 0.568 0.750
O6 0.568 0.432 0.250
O7 0.620 0.216 0.886
O8 0.724 0.883 0.612
O9 0.784 0.380 0.614
O10 0.883 0.724 0.112

***

# Ba3PuBe2O6

Ba3PuBe2O6 after structural relaxation (PBE, Alexandria).

Summary:
ΔE_f (raw) ... -2922 kJ/mol of formula units
Space-group type ... No. 164
Magnetic moment ... 4.6 μB per formula unit
E ... -7.299 eV per atom

Cell: 5.811 5.811 7.418 Å, 90.00 90.00 120.00°
Element x y z (fractional)
Ba1 0.000 0.000 0.000
Ba2 0.333 0.667 0.690
Ba3 0.667 0.333 0.310
Pu1 0.000 0.000 0.500
Be1 0.333 0.667 0.276
Be2 0.667 0.333 0.724
O1 0.179 0.358 0.307
O2 0.179 0.821 0.307
O3 0.358 0.179 0.693
O4 0.642 0.821 0.307
O5 0.821 0.179 0.693
O6 0.821 0.642 0.693

***

Number 6 is which compound? Ba3Be2PtO6